# 1
The following is a DFT calculation (PBE) of a relaxed TlZnRu2 crystal.

Cell and atoms, written as POSCAR:
```
TlZnRu2
1.0
2.879 0.000 0.000
0.000 4.382 0.000
-0.353 0.000 5.312
Tl Zn Ru
1 1 2
direct
0.000 0.000 0.000
0.500 0.000 0.500
0.249 0.500 0.707
0.751 0.500 0.293
```

Calculated values
ρ   11.696 g/cm3
Raw total energy   -0.18739 Ha/atom
Crystal system   monoclinic
Symmetry   P2/m, No. 10
ΔE to the lowest computed polymorph   199 meV/atom
Formation energy from the elements   1.80 eV/f.u.



# 2
The following is a DFT calculation (PBE) of a relaxed LaPb4S5 crystal.

Cell and atoms, written as POSCAR:
```
LaPb4S5
1.0
-4.774 4.774 3.004
4.774 -4.774 3.004
4.774 4.774 -3.004
La Pb S
1 4 5
direct
0.000 0.000 0.000
0.198 0.397 0.595
0.397 0.802 0.199
0.603 0.198 0.801
0.802 0.603 0.405
0.101 0.714 0.814
0.286 0.101 0.387
0.500 0.500 0.000
0.714 0.899 0.613
0.899 0.286 0.186
```

Calculated values
ρ   6.840 g/cm3
Raw total energy   -0.17981 Ha/atom
Crystal system   tetragonal
ΔE_f (raw)   -853 meV per atom
Symmetry   I4/m, No. 87



# 3
The following is a DFT calculation (PBE) of a relaxed Tb6P3S2Cl crystal.

Cell and atoms, written as POSCAR:
```
Tb6P3S2Cl
1.0
8.731 -1.992 0.000
8.731 1.992 0.000
-1.877 0.000 7.792
Tb P S Cl
6 3 2 1
direct
0.001 0.001 0.228
0.324 0.324 0.417
0.334 0.334 0.912
0.666 0.666 0.088
0.676 0.676 0.583
0.999 0.999 0.772
0.163 0.163 0.334
0.500 0.500 0.000
0.837 0.837 0.666
0.165 0.165 0.830
0.835 0.835 0.170
0.500 0.500 0.500
```

Calculated values
ρ   7.019 g/cm3
Raw total energy   -0.23110 Ha/atom
Crystal system   monoclinic
ΔE_f (raw)   -1779 meV per atom
Symmetry   C2/m, No. 12



# 4
The following is a DFT calculation (PBE) of a relaxed Ac6Pm3PrNd2 crystal.

Cell and atoms, written as POSCAR:
```
Ac6Pm3PrNd2
1.0
3.343 -5.798 0.000
3.343 5.798 0.000
-2.233 0.000 12.252
Ac Pm Pr Nd
6 3 1 2
direct
0.084 0.418 0.751
0.249 0.249 0.249
0.418 0.084 0.751
0.582 0.916 0.249
0.751 0.751 0.751
0.916 0.582 0.249
0.167 0.833 0.000
0.500 0.500 0.000
0.833 0.167 0.000
0.000 0.000 0.500
0.333 0.667 0.500
0.667 0.333 0.500
```

Calculated values
ρ   7.784 g/cm3
Raw total energy   -0.16205 Ha/atom
Crystal system   monoclinic
Symmetry   C2/m, No. 12
Formation energy from the elements   0.30 eV/f.u.



# 5
The following is a DFT calculation (PBE) of a relaxed Ce4AlZn crystal.

Cell and atoms, written as POSCAR:
```
Ce4AlZn
1.0
3.881 -4.416 0.000
3.881 4.416 0.000
-3.417 0.000 3.857
Ce Al Zn
4 1 1
direct
0.086 0.411 0.248
0.411 0.086 0.248
0.589 0.914 0.752
0.914 0.589 0.752
0.500 0.500 0.000
0.000 0.000 0.500
```

Calculated values
ρ   8.201 g/cm3
Raw total energy   -0.18194 Ha/atom
Crystal system   monoclinic
Symmetry   C2/m, No. 12
Formation energy from the elements   -0.95 eV/f.u.



# 6
The following is a DFT calculation (PBE) of a relaxed TiPdI2O crystal.

Cell and atoms, written as POSCAR:
```
TiPdI2O
1.0
5.579 0.000 0.000
0.000 5.579 0.000
0.000 0.000 3.869
Ti Pd I O
1 1 2 1
direct
0.000 0.000 0.000
0.500 0.500 0.500
0.000 0.500 0.500
0.500 0.000 0.500
0.500 0.500 0.000
```

Calculated values
ρ   5.849 g/cm3
Raw total energy   -0.14625 Ha/atom
Crystal system   tetragonal
ΔE_f (raw)   249 meV per atom
Symmetry   P4/mmm, No. 123
ΔE to the lowest computed polymorph   982 meV/atom



# 7
The following is a DFT calculation (PBE) of a relaxed YFe2Ru2 crystal.

Cell and atoms, written as POSCAR:
```
YFe2Ru2
1.0
7.274 0.000 0.000
0.000 7.274 0.000
0.000 0.000 2.773
Y Fe Ru
2 4 4
direct
0.000 0.000 0.000
0.500 0.500 0.000
0.116 0.384 0.000
0.384 0.884 0.000
0.616 0.116 0.000
0.884 0.616 0.000
0.174 0.674 0.500
0.326 0.174 0.500
0.674 0.826 0.500
0.826 0.326 0.500
```

Calculated values
ρ   9.117 g/cm3
Raw total energy   -0.30207 Ha/atom
Crystal system   tetragonal
Symmetry   P4/mbm, No. 127
ΔE to the lowest computed polymorph   166 meV/atom
Formation energy from the elements   0.84 eV/f.u.



# 8
The following is a DFT calculation (PBE) of a relaxed FeNi2W crystal.

Cell and atoms, written as POSCAR:
```
FeNi2W
1.0
2.568 -3.720 0.000
2.568 3.720 0.000
0.000 0.000 2.606
Fe Ni W
1 2 1
direct
0.000 0.000 0.000
0.000 0.500 0.500
0.500 0.000 0.500
0.500 0.500 0.000
```

Calculated values
ρ   11.913 g/cm3
Raw total energy   -0.30052 Ha/atom
Crystal system   orthorhombic
Symmetry   Cmmm, No. 65
ΔE to the lowest computed polymorph   86 meV/atom
Formation energy from the elements   0.27 eV/f.u.